Entry 1:
The following is a GGA-PBE calculation of CsNdCu2Br8 after structural relaxation, from Alexandria.

Values from the calculation:
- Space group: P-3m1 (164)
- Formation energy without anion corrections: -957 meV per atom
- Magnetization: 2.15 μB/cell
- VASP energy: -38.68 eV per formula unit
- ρ: 3317 kg/m³
- Density of states at the Fermi level: 15.9 states/eV/cell

Unit cell a=7.794 b=7.794 c=9.930 alpha=90.00 beta=90.00 gamma=120.00
Positions (direct):
Cs 0.000 0.000 0.000
Nd 0.000 0.000 0.500
Cu 0.333 0.667 0.225
Cu 0.667 0.333 0.775
Br 0.165 0.331 0.316
Br 0.165 0.835 0.316
Br 0.331 0.165 0.684
Br 0.333 0.667 0.992
Br 0.667 0.333 0.008
Br 0.669 0.835 0.316
Br 0.835 0.165 0.684
Br 0.835 0.669 0.684



Entry 2:
The following is a GGA-PBE calculation of CsNdCuBr6 after structural relaxation, from Alexandria.

Values from the calculation:
- Space group: P1 (1)
- Formation energy without anion corrections: -1321 meV per atom
- Magnetization: 1.04 μB/cell
- VASP energy: -31.64 eV per formula unit
- ρ: 3684 kg/m³
- Density of states at the Fermi level: 0.1 states/eV/cell

Unit cell a=6.997 b=7.065 c=8.123 alpha=94.24 beta=96.21 gamma=111.09
Positions (direct):
Cs 0.000 0.000 0.000
Nd 0.373 0.644 0.504
Cu 0.738 0.298 0.485
Br 0.045 0.578 0.244
Br 0.062 0.312 0.643
Br 0.432 0.936 0.777
Br 0.473 0.343 0.287
Br 0.672 0.958 0.340
Br 0.695 0.536 0.699



Question: The lowest ρ belongs to which entry?
Answer: CsNdCu2Br8



Question: What is the density of states at the Fermi level in the first record?
Answer: 15.9 states/eV/cell